A plane-wave DFT calculation with PBE was carried out for crystalline AcRePbO6 at its relaxed geometry.

The space group is P312 (No. 149) and the conventional cell measures 5.7973, 5.7973 and 5.1002 Å, with angles of 90.00, 90.00 and 120.00 degrees. The asymmetric unit holds Ac at (0.0000, 0.0000, 0.0000), Re at (0.6667, 0.3333, 0.5000), Pb at (0.3333, 0.6667, 0.5000) and O at (0.3890, 0.0677, 0.7140).

The density of states at the Fermi level is 0.000 states/eV per atom. For the calculated density, the calculation gives 8.01 g cm⁻³. Its total energy is -7.560 eV per atom. As for the volume: 148.44 Å³/f.u.